Material: Zn3PbO
Method: DFT, PBE-GGA
State: relaxed

Properties
Its theoretical density is 4.8 g/cm³. As for the formation energy without anion corrections: 0.8926 eV/atom. As for the space group: Pm-3m. Its total energy is -1.61 eV per atom.

a = 5.237 Å, b = 5.237 Å, c = 5.237 Å
α = 90.00°, β = 90.00°, γ = 90.00°
Fractional coordinates of all 5 atoms:
Zn 0.000 0.000 0.500
Zn 0.000 0.500 0.000
Zn 0.500 0.000 0.000
Pb 0.000 0.000 0.000
O 0.500 0.500 0.500